# CaCuSbTe2

A relaxed CaCuSbTe2 crystal (GGA-PBE, Alexandria via LeMat-Bulk).

Structure (CIF):
```
data_CaCuSbTe2
_chemical_formula_sum 'Ca1 Cu1 Sb1 Te2'
_space_group_name_H-M_alt 'P 1'
_space_group_IT_number 1
_space_group_name_Hall 'P 1'
_cell_length_a 5.4838
_cell_length_b 5.4838
_cell_length_c 4.8517
_cell_angle_alpha 90.00
_cell_angle_beta 90.00
_cell_angle_gamma 90.00
loop_
_atom_site_label
_atom_site_fract_x
_atom_site_fract_y
_atom_site_fract_z
Ca1 0.0000 0.0000 0.0000
Cu1 0.5000 0.5000 0.5000
Sb1 0.5000 0.5000 0.0000
Te1 0.0000 0.5000 0.5000
Te2 0.5000 0.0000 0.5000
```

Results
Energy above the most stable polymorph in this dataset (meV per atom): 0